Below is a crystal of AlNiSb3 relaxed with PBEsol, with properties calculated at the SCAN level.

Structure (extended XYZ):
```
5
Lattice="5.0965 0.0000 0.0000 0.0000 5.0965 0.0000 0.0000 0.0000 5.0965" Properties=species:S:1:pos:R:3 pbc="T T T"
Al 0.0000 0.0000 0.0000
Ni 2.5482 2.5482 2.5482
Sb 0.0000 0.0000 2.5482
Sb 0.0000 2.5482 0.0000
Sb 2.5482 0.0000 0.0000
```

total DFT energy (no corrections)	-1.914	Ry/atom
mass density	5.66	g cm⁻³
uncorrected formation energy	1.105	eV per atom

---

Below is a crystal of SrAlFe2 relaxed with PBEsol, with properties calculated at the SCAN level.

Structure (extended XYZ):
```
4
Lattice="2.0044 1.1573 5.6642 -2.0044 1.1573 5.6642 0.0000 -2.3145 5.6642" Properties=species:S:1:pos:R:3 pbc="T T T"
Sr 0.0000 0.0000 0.0000
Al 0.0000 0.0000 3.1995
Fe 0.0000 0.0000 8.0488
Fe 0.0000 0.0000 13.6562
```

total DFT energy (no corrections)	-1.209	Ry/atom
mass density	4.77	g cm⁻³
energy of formation	0.116	eV/atom

---

Below is a crystal of Be3CoSi relaxed with PBEsol, with properties calculated at the SCAN level.

Structure (extended XYZ):
```
5
Lattice="4.0277 0.0000 0.0000 0.0000 4.0277 0.0000 0.0000 0.0000 4.0277" Properties=species:S:1:pos:R:3 pbc="T T T"
Be 0.0000 0.0000 2.0139
Be 0.0000 2.0139 0.0000
Be 2.0139 0.0000 0.0000
Co 2.0139 2.0139 2.0139
Si 0.0000 0.0000 0.0000
```

total DFT energy (no corrections)	-0.505	Ry/atom
mass density	2.90	g cm⁻³
uncorrected formation energy	1.209	eV per atom

---

Below is a crystal of Tm2Sc3Si4 relaxed with PBEsol, with properties calculated at the SCAN level.

Structure (extended XYZ):
```
36
Lattice="6.9716 0.0000 0.0000 0.0000 13.7341 0.0000 0.0000 0.0000 7.2656" Properties=species:S:1:pos:R:3 pbc="T T T"
Tm 0.0722 1.3182 1.2829
Tm 0.0722 5.5489 1.2829
Tm 3.4136 8.1852 4.9157
Tm 3.4136 12.4159 4.9157
Tm 3.5580 1.3182 2.3498
Tm 3.5580 5.5489 2.3498
Tm 6.8995 8.1852 5.9826
Tm 6.8995 12.4159 5.9826
Sc 1.1374 10.3006 3.6596
Sc 1.1784 1.7246 4.9159
Sc 1.1784 5.1425 4.9159
Sc 2.3074 8.5916 1.2832
Sc 2.3074 12.0095 1.2832
Sc 2.3485 3.4335 0.0269
Sc 4.6232 10.3006 7.2387
Sc 4.6642 1.7246 5.9824
Sc 4.6642 5.1425 5.9824
Sc 5.7932 8.5916 2.3496
Sc 5.7932 12.0095 2.3496
Sc 5.8343 3.4335 3.6059
Si 0.2345 10.3006 0.8110
Si 1.1131 7.3983 3.3790
Si 1.1131 13.2028 3.3790
Si 1.4881 3.4335 2.6815
Si 1.9978 10.3006 6.3143
Si 2.3727 0.5313 7.0118
Si 2.3727 6.3358 7.0118
Si 3.2513 3.4335 4.4438
Si 3.7203 10.3006 2.8218
Si 4.5989 7.3983 0.2538
Si 4.5989 13.2028 0.2538
Si 4.9739 3.4335 0.9513
Si 5.4836 10.3006 4.5841
Si 5.8585 0.5313 3.8865
Si 5.8585 6.3358 3.8865
Si 6.7371 3.4335 6.4546
```

total DFT energy (no corrections)	-1.585	Ry/atom
mass density	5.59	g cm⁻³
uncorrected formation energy	-0.851	eV per atom

---

Below is a crystal of Zr2AlGeAs relaxed with PBEsol, with properties calculated at the SCAN level.

Structure (extended XYZ):
```
5
Lattice="5.0607 0.0000 0.0000 0.0000 5.0607 0.0000 0.0000 0.0000 4.4491" Properties=species:S:1:pos:R:3 pbc="T T T"
Zr 0.0000 2.5304 0.0000
Zr 2.5304 0.0000 0.0000
Al 0.0000 0.0000 0.0000
Ge 2.5304 2.5304 2.2245
As 0.0000 0.0000 2.2245
```

total DFT energy (no corrections)	-1.551	Ry/atom
mass density	5.20	g cm⁻³
energy of formation	0.582	eV/atom

---

Below is a crystal of MgInTe3 relaxed with PBEsol, with properties calculated at the SCAN level.

Structure (extended XYZ):
```
5
Lattice="5.4474 0.0000 0.0000 0.0000 5.4474 0.0000 0.0000 0.0000 5.4474" Properties=species:S:1:pos:R:3 pbc="T T T"
Mg 0.0000 0.0000 0.0000
In 2.7237 2.7237 2.7237
Te 0.0000 0.0000 2.7237
Te 0.0000 2.7237 0.0000
Te 2.7237 0.0000 0.0000
```

total DFT energy (no corrections)	-2.200	Ry/atom
mass density	5.36	g cm⁻³
uncorrected formation energy	0.085	eV per atom

---

Below is a crystal of La3ZrSb relaxed with PBEsol, with properties calculated at the SCAN level.

Structure (extended XYZ):
```
5
Lattice="5.9116 0.0000 0.0000 0.0000 5.9116 0.0000 0.0000 0.0000 5.9116" Properties=species:S:1:pos:R:3 pbc="T T T"
La 0.0000 0.0000 2.9558
La 0.0000 2.9558 0.0000
La 2.9558 0.0000 0.0000
Zr 2.9558 2.9558 2.9558
Sb 0.0000 0.0000 0.0000
```

total DFT energy (no corrections)	-2.883	Ry/atom
mass density	5.06	g cm⁻³
uncorrected formation energy	0.223	eV per atom

---

Below is a crystal of ZrOsW relaxed with PBEsol, with properties calculated at the SCAN level.

Structure (extended XYZ):
```
3
Lattice="4.4787 0.0000 0.0000 -2.2393 3.8786 0.0000 0.0000 0.0000 2.8419" Properties=species:S:1:pos:R:3 pbc="T T T"
Zr 0.0000 0.0000 0.0000
Os 2.2393 1.2929 0.9854
W 0.0000 2.5858 1.8450
```

total DFT energy (no corrections)	-4.219	Ry/atom
mass density	15.65	g cm⁻³
energy of formation	0.013	eV/atom
energy relative to the lowest polymorph listed for this composition	0.269	eV/f.u.

---

Below is a crystal of Mg2MoAs relaxed with PBEsol, with properties calculated at the SCAN level.

Structure (extended XYZ):
```
4
Lattice="4.7476 -1.4214 0.0000 4.7476 1.4214 0.0000 -0.5404 0.0000 5.1096" Properties=species:S:1:pos:R:3 pbc="T T T"
Mg 0.0000 0.0000 0.0000
Mg 1.8969 0.0000 3.8608
Mo 4.4640 0.0000 2.5160
As 7.0507 0.0000 1.5380
```

total DFT energy (no corrections)	-1.185	Ry/atom
mass density	5.28	g cm⁻³
energy of formation	0.132	eV/atom

---

Below is a crystal of Si3HgGe relaxed with PBEsol, with properties calculated at the SCAN level.

Structure (extended XYZ):
```
5
Lattice="4.9430 0.0000 0.0000 0.0000 4.9430 0.0000 0.0000 0.0000 4.9430" Properties=species:S:1:pos:R:3 pbc="T T T"
Si 0.0000 0.0000 2.4715
Si 0.0000 2.4715 0.0000
Si 2.4715 0.0000 0.0000
Hg 0.0000 0.0000 0.0000
Ge 2.4715 2.4715 2.4715
```

total DFT energy (no corrections)	-1.612	Ry/atom
mass density	4.92	g cm⁻³
uncorrected formation energy	1.532	eV per atom

---

Below is a crystal of Ca2SiW relaxed with PBEsol, with properties calculated at the SCAN level.

Structure (extended XYZ):
```
4
Lattice="4.0901 0.0000 0.0000 0.0000 4.0901 0.0000 0.0000 0.0000 4.6568" Properties=species:S:1:pos:R:3 pbc="T T T"
Ca 0.0000 2.0450 0.0000
Ca 2.0450 0.0000 0.0000
Si 0.0000 0.0000 2.3284
W 2.0450 2.0450 2.3284
```

total DFT energy (no corrections)	-1.768	Ry/atom
mass density	6.23	g cm⁻³
uncorrected formation energy	0.701	eV per atom

---

Below is a crystal of SiSnSbTe2 relaxed with PBEsol, with properties calculated at the SCAN level.

Structure (extended XYZ):
```
5
Lattice="5.2493 0.0000 0.0000 0.0000 5.2493 0.0000 0.0000 0.0000 5.1193" Properties=species:S:1:pos:R:3 pbc="T T T"
Si 0.0000 0.0000 0.0000
Sn 2.6247 2.6247 2.5597
Sb 0.0000 0.0000 2.5597
Te 0.0000 2.6247 0.0000
Te 2.6247 0.0000 0.0000
```

total DFT energy (no corrections)	-2.282	Ry/atom
mass density	6.17	g cm⁻³
uncorrected formation energy	0.492	eV per atom

---

Copy entry 7 word for word.
Below is a crystal of La3ZrSb relaxed with PBEsol, with properties calculated at the SCAN level.

Structure (extended XYZ):
```
5
Lattice="5.9116 0.0000 0.0000 0.0000 5.9116 0.0000 0.0000 0.0000 5.9116" Properties=species:S:1:pos:R:3 pbc="T T T"
La 0.0000 0.0000 2.9558
La 0.0000 2.9558 0.0000
La 2.9558 0.0000 0.0000
Zr 2.9558 2.9558 2.9558
Sb 0.0000 0.0000 0.0000
```

total DFT energy (no corrections)	-2.883	Ry/atom
mass density	5.06	g cm⁻³
uncorrected formation energy	0.223	eV per atom